Record 1
Compound: Er2Zn2AgPd5
Source: Alexandria
Functional: GGA-PBE
Structure: relaxed

The structure in POSCAR format:
```
Er2Zn2AgPd5
1.0
9.5591 0.0000 0.0000
0.0000 9.5591 0.0000
0.0000 0.0000 3.8411
Er Zn Ag Pd
4 4 2 10
Direct
0.1781 0.3219 0.0000
0.3219 0.8219 0.0000
0.6781 0.1781 0.0000
0.8219 0.6781 0.0000
0.1196 0.6196 0.0000
0.3804 0.1196 0.0000
0.6196 0.8804 0.0000
0.8804 0.3804 0.0000
0.0000 0.0000 0.0000
0.5000 0.5000 0.0000
0.0000 0.5000 0.5000
0.0708 0.7944 0.5000
0.2056 0.0708 0.5000
0.2944 0.5708 0.5000
0.4292 0.2944 0.5000
0.5000 0.0000 0.5000
0.5708 0.7056 0.5000
0.7056 0.4292 0.5000
0.7944 0.9292 0.5000
0.9292 0.2056 0.5000
```

Results
- ΔE_f (eV per atom) = -0.64
- symmetry = P4/mbm (127)

***

Record 2
Compound: Ho3Tl4BiS8
Source: Alexandria
Functional: GGA-PBE
Structure: relaxed

The structure in POSCAR format:
```
Ho3Tl4BiS8
1.0
4.0498 2.3381 7.5010
-4.0498 2.3381 7.5010
0.0000 -4.6763 7.5010
Ho Tl Bi S
3 4 1 8
Direct
0.0000 0.5000 0.5000
0.5000 0.0000 0.5000
0.5000 0.5000 0.0000
0.0000 0.0000 0.5000
0.0000 0.5000 0.0000
0.5000 0.0000 0.0000
0.5000 0.5000 0.5000
0.0000 0.0000 0.0000
0.2378 0.2378 0.7249
0.2378 0.7249 0.2378
0.2680 0.2680 0.2680
0.2751 0.7622 0.7622
0.7249 0.2378 0.2378
0.7320 0.7320 0.7320
0.7622 0.2751 0.7622
0.7622 0.7622 0.2751
```

Results
- formation energy from raw total energies (kJ per mole of atoms) = -117.8
- symmetry = R-3m (166)

***

Record 3
Compound: AlAgPb
Source: Alexandria
Functional: GGA-PBE
Structure: relaxed

The structure in POSCAR format:
```
AlAgPb
1.0
5.1149 0.0000 0.0000
-2.5574 4.4296 0.0000
0.0000 0.0000 6.0043
Al Ag Pb
2 2 2
Direct
0.3333 0.6667 0.2500
0.6667 0.3333 0.7500
0.0000 0.0000 0.0000
0.0000 0.0000 0.5000
0.3333 0.6667 0.7500
0.6667 0.3333 0.2500
```

Results
- ΔE_f (eV per atom) = 0.29
- symmetry = P6_3/mmc (194)

***

Record 4
Compound: TaRuAuI2
Source: Alexandria
Functional: GGA-PBE
Structure: relaxed

The structure in POSCAR format:
```
TaRuAuI2
1.0
5.3284 0.0000 0.0000
0.0000 5.3284 0.0000
0.0000 0.0000 4.8700
Ta Ru Au I
1 1 1 2
Direct
0.0000 0.0000 0.0000
0.0000 0.0000 0.5000
0.5000 0.5000 0.0000
0.0000 0.5000 0.5000
0.5000 0.0000 0.5000
```

Results
- formation energy from raw total energies (kJ per mole of atoms) = 110.2
- symmetry = P4/mmm (123)

***

Record 5
Compound: La2TaS6
Source: Alexandria
Functional: GGA-PBE
Structure: relaxed

The structure in POSCAR format:
```
La2TaS6
1.0
6.1295 0.0000 0.0000
0.0000 7.6106 0.0000
-5.7556 0.0000 9.0237
La Ta S
4 2 12
Direct
0.2079 0.1112 0.2581
0.2079 0.3888 0.7581
0.7921 0.6112 0.2419
0.7921 0.8888 0.7419
0.5000 0.0000 0.0000
0.5000 0.5000 0.5000
0.1163 0.1606 0.9527
0.1163 0.3394 0.4527
0.2956 0.7085 0.9512
0.2956 0.7915 0.4512
0.3314 0.0248 0.7369
0.3314 0.4752 0.2369
0.6686 0.5248 0.7631
0.6686 0.9752 0.2631
0.7044 0.2085 0.5488
0.7044 0.2915 0.0488
0.8837 0.6606 0.5473
0.8837 0.8394 0.0473
```

Results
- formation energy from raw total energies (kJ per mole of atoms) = -146.0
- symmetry = P2_1/c (14)

***

Record 6
Compound: SiSb2Cl
Source: Alexandria
Functional: GGA-PBE
Structure: relaxed

The structure in POSCAR format:
```
SiSb2Cl
1.0
4.9426 0.0000 0.0000
0.0000 5.0393 0.0000
0.0000 0.0000 7.5781
Si Sb Cl
2 4 2
Direct
0.0000 0.0000 0.0000
0.5000 0.5000 0.0000
0.0000 0.5000 0.2033
0.0000 0.5000 0.7967
0.5000 0.0000 0.2033
0.5000 0.0000 0.7967
0.0000 0.0000 0.5000
0.5000 0.5000 0.5000
```

Results
- formation energy from raw total energies (kJ per mole of atoms) = 4.5
- symmetry = Cmmm (65)
- distance to the lowest polymorph of the same formula (meV/atom) = 13

***

Record 7
Compound: Cd2GaP
Source: Alexandria
Functional: GGA-PBE
Structure: relaxed

The structure in POSCAR format:
```
Cd2GaP
1.0
6.9371 0.0000 0.0000
0.0000 6.9371 0.0000
0.0000 0.0000 6.9371
Cd Ga P
8 4 4
Direct
0.2500 0.2500 0.2500
0.2500 0.2500 0.7500
0.2500 0.7500 0.2500
0.2500 0.7500 0.7500
0.7500 0.2500 0.2500
0.7500 0.2500 0.7500
0.7500 0.7500 0.2500
0.7500 0.7500 0.7500
0.0000 0.0000 0.0000
0.0000 0.5000 0.5000
0.5000 0.0000 0.5000
0.5000 0.5000 0.0000
0.0000 0.0000 0.5000
0.0000 0.5000 0.0000
0.5000 0.0000 0.0000
0.5000 0.5000 0.5000
```

Results
- ΔE_f (eV per atom) = 0.25
- symmetry = Fm-3m (225)
- distance to the lowest polymorph of the same formula (meV/atom) = 73

***

Record 8
Compound: LiAc2Si3Pd4
Source: Alexandria
Functional: GGA-PBE
Structure: relaxed

The structure in POSCAR format:
```
LiAc2Si3Pd4
1.0
4.3704 0.0000 0.0000
0.0000 4.3704 0.0000
0.0000 0.0000 10.2105
Li Ac Si Pd
1 2 3 4
Direct
0.0000 0.0000 0.0000
0.0000 0.5000 0.7535
0.5000 0.0000 0.2465
0.0000 0.5000 0.3762
0.5000 0.0000 0.6238
0.5000 0.5000 0.0000
0.0000 0.0000 0.5000
0.0000 0.5000 0.1296
0.5000 0.0000 0.8704
0.5000 0.5000 0.5000
```

Results
- formation energy from raw total energies (kJ per mole of atoms) = -80.2
- symmetry = P-4m2 (115)

***

Record 9
Compound: TbLuMgGa
Source: Alexandria
Functional: GGA-PBE
Structure: relaxed

The structure in POSCAR format:
```
TbLuMgGa
1.0
7.2457 0.0000 0.0000
0.0000 7.2457 0.0000
0.0000 0.0000 7.2457
Tb Lu Mg Ga
4 4 4 4
Direct
0.0000 0.0000 0.0000
0.0000 0.5000 0.5000
0.5000 0.0000 0.5000
0.5000 0.5000 0.0000
0.0000 0.0000 0.5000
0.0000 0.5000 0.0000
0.5000 0.0000 0.0000
0.5000 0.5000 0.5000
0.2500 0.2500 0.2500
0.2500 0.7500 0.7500
0.7500 0.2500 0.7500
0.7500 0.7500 0.2500
0.2500 0.2500 0.7500
0.2500 0.7500 0.2500
0.7500 0.2500 0.2500
0.7500 0.7500 0.7500
```

Results
- ΔE_f (eV per atom) = -0.32
- symmetry = F-43m (216)

***

Record 10
Compound: La2TeH2I
Source: Alexandria
Functional: GGA-PBE
Structure: relaxed

The structure in POSCAR format:
```
La2TeH2I
1.0
4.1982 0.0000 0.0000
-2.0991 3.6357 0.0000
0.0000 0.0000 9.3330
La Te H I
2 1 2 1
Direct
0.3333 0.6667 0.2260
0.6667 0.3333 0.7740
0.0000 0.0000 0.0000
0.3333 0.6667 0.7484
0.6667 0.3333 0.2516
0.0000 0.0000 0.5000
```

Results
- symmetry = P-3m1 (164)
- VASP energy (eV per atom) = -4.642

***

Record 11
Compound: BeBiMo3
Source: Alexandria
Functional: GGA-PBE
Structure: relaxed

The structure in POSCAR format:
```
BeBiMo3
1.0
5.0006 0.0000 0.0000
0.0000 5.0006 0.0000
0.0000 0.0000 5.0006
Be Bi Mo
1 1 3
Direct
0.0000 0.0000 0.0000
0.5000 0.5000 0.5000
0.0000 0.5000 0.5000
0.5000 0.0000 0.5000
0.5000 0.5000 0.0000
```

Results
- ΔE_f (eV per atom) = 2.80
- symmetry = Pm-3m (221)
- distance to the lowest polymorph of the same formula (meV/atom) = 1982

***

Record 12
Compound: SrLi4Mg4
Source: Alexandria
Functional: GGA-PBE
Structure: relaxed

The structure in POSCAR format:
```
SrLi4Mg4
1.0
9.5993 0.0000 0.0000
0.0000 9.5993 0.0000
0.0000 0.0000 5.1121
Sr Li Mg
2 8 8
Direct
0.2500 0.2500 0.2500
0.7500 0.7500 0.7500
0.0126 0.1052 0.7451
0.1052 0.4874 0.7549
0.3948 0.0126 0.7549
0.4874 0.3948 0.7451
0.5126 0.6052 0.2549
0.6052 0.9874 0.2451
0.8948 0.5126 0.2451
0.9874 0.8948 0.2549
0.1188 0.8233 0.7580
0.1767 0.6188 0.2580
0.3233 0.8812 0.2580
0.3812 0.6767 0.7580
0.6188 0.3233 0.2420
0.6767 0.1188 0.7420
0.8233 0.3812 0.7420
0.8812 0.1767 0.2420
```

Results
- ΔE_f (eV per atom) = 0.06
- symmetry = P4_2/n (86)

***

Record 13
Compound: TlCuO3
Source: Alexandria
Functional: GGA-PBE
Structure: relaxed

The structure in POSCAR format:
```
TlCuO3
1.0
3.7943 0.0000 0.0000
0.0000 3.7943 0.0000
0.0000 0.0000 3.7943
Tl Cu O
1 1 3
Direct
0.0000 0.0000 0.0000
0.5000 0.5000 0.5000
0.0000 0.5000 0.5000
0.5000 0.0000 0.5000
0.5000 0.5000 0.0000
```

Results
- formation energy from raw total energies (kJ per mole of atoms) = -21.9
- symmetry = Pm-3m (221)

***

Record 14
Compound: LiBiF
Source: Alexandria
Functional: GGA-PBE
Structure: relaxed

The structure in POSCAR format:
```
LiBiF
1.0
3.3683 0.0000 0.0000
1.6796 2.9197 0.0000
0.2570 0.1544 12.4505
Li Bi F
2 2 2
Direct
0.0000 0.0000 0.0000
0.3251 0.3250 0.1544
0.6895 0.6584 0.7018
0.7011 0.6713 0.4537
0.3338 0.3340 0.9930
0.9913 0.9910 0.1615
```

Results
- formation energy from raw total energies (kJ per mole of atoms) = -178.0
- symmetry = P1 (1)
- distance to the lowest polymorph of the same formula (meV/atom) = 0

***

Record 15
Compound: LaCeHgRh
Source: Alexandria
Functional: GGA-PBE
Structure: relaxed

The structure in POSCAR format:
```
LaCeHgRh
1.0
4.1019 0.0000 0.0000
-2.0509 3.5523 0.0000
0.0000 0.0000 23.6247
La Ce Hg Rh
3 3 3 3
Direct
0.0000 0.0000 0.0000
0.3333 0.6667 0.6667
0.6667 0.3333 0.3333
0.0000 0.0000 0.1983
0.3333 0.6667 0.8650
0.6667 0.3333 0.5317
0.0000 0.0000 0.7695
0.3333 0.6667 0.4362
0.6667 0.3333 0.1029
0.0000 0.0000 0.5948
0.3333 0.6667 0.2615
0.6667 0.3333 0.9281
```

Results
- ΔE_f (eV per atom) = -0.54
- symmetry = R3m (160)
- distance to the lowest polymorph of the same formula (meV/atom) = 0

***

Record 16
Compound: Hf4InSb2
Source: Alexandria
Functional: GGA-PBE
Structure: relaxed

The structure in POSCAR format:
```
Hf4InSb2
1.0
-4.4468 4.4468 4.3106
4.4468 -4.4468 4.3106
4.4468 4.4468 -4.3106
Hf In Sb
8 2 4
Direct
0.1197 0.2281 0.7373
0.1324 0.3697 0.3916
0.2592 0.0219 0.3916
0.4908 0.3824 0.2627
0.6176 0.5092 0.7373
0.6303 0.8676 0.6084
0.7719 0.8803 0.2627
0.9781 0.7408 0.6084
0.0000 0.0000 0.0000
0.7500 0.2500 0.5000
0.2978 0.6250 0.1728
0.3750 0.7022 0.8272
0.4522 0.1250 0.8272
0.8750 0.5478 0.1728
```

Results
- formation energy from raw total energies (kJ per mole of atoms) = -19.4
- symmetry = I4_122 (98)

***

Record 17
Compound: Te2MoAu
Source: Alexandria
Functional: GGA-PBE
Structure: relaxed

The structure in POSCAR format:
```
Te2MoAu
1.0
3.5849 0.0000 0.0000
-1.7924 3.1046 0.0000
0.0000 0.0000 26.7376
Te Mo Au
6 3 3
Direct
0.0000 0.0000 0.0995
0.0000 0.0000 0.9005
0.3333 0.6667 0.5671
0.3333 0.6667 0.7662
0.6667 0.3333 0.2338
0.6667 0.3333 0.4329
0.0000 0.0000 0.5000
0.3333 0.6667 0.1667
0.6667 0.3333 0.8333
0.0000 0.0000 0.0000
0.3333 0.6667 0.6667
0.6667 0.3333 0.3333
```

Results
- formation energy from raw total energies (kJ per mole of atoms) = 9.7
- symmetry = R-3m (166)
- distance to the lowest polymorph of the same formula (meV/atom) = 0

***

Record 18
Compound: NdH12Rh4
Source: Alexandria
Functional: GGA-PBE
Structure: relaxed

The structure in POSCAR format:
```
NdH12Rh4
1.0
-3.4349 3.4349 3.4349
3.4349 -3.4349 3.4349
3.4349 3.4349 -3.4349
Nd H Rh
1 12 4
Direct
0.0000 0.0000 0.0000
0.0302 0.7500 0.2803
0.2500 0.2803 0.5303
0.2500 0.7197 0.9698
0.2803 0.0302 0.7500
0.2803 0.5303 0.2500
0.4697 0.7500 0.7197
0.5303 0.2500 0.2803
0.7197 0.4697 0.7500
0.7197 0.9698 0.2500
0.7500 0.2803 0.0302
0.7500 0.7197 0.4697
0.9698 0.2500 0.7197
0.0000 0.0000 0.5000
0.0000 0.5000 0.0000
0.5000 0.0000 0.0000
0.5000 0.5000 0.5000
```

Results
- symmetry = Im-3 (204)
- VASP energy (eV per atom) = -4.509

***

Record 19
Compound: TaNbV2
Source: Alexandria
Functional: GGA-PBE
Structure: relaxed

The structure in POSCAR format:
```
TaNbV2
1.0
2.8191 0.0000 0.0000
0.0000 4.3114 0.0000
-0.8558 0.0000 5.2842
Ta Nb V
1 1 2
Direct
0.0000 0.0000 0.0000
0.5000 0.0000 0.5000
0.2698 0.5000 0.7515
0.7302 0.5000 0.2485
```

Results
- ΔE_f (eV per atom) = 0.08
- symmetry = P2/m (10)
- distance to the lowest polymorph of the same formula (meV/atom) = 43

***

Record 20
Compound: Ho3ErSb2C
Source: Alexandria
Functional: GGA-PBE
Structure: relaxed

The structure in POSCAR format:
```
Ho3ErSb2C
1.0
4.7433 0.0000 0.0000
0.0000 4.7622 0.0000
0.0000 0.0000 15.6678
Ho Er Sb C
6 2 4 2
Direct
0.0000 0.0000 0.0000
0.0000 0.5000 0.1571
0.0000 0.5000 0.8429
0.5000 0.0000 0.3429
0.5000 0.0000 0.6571
0.5000 0.5000 0.5000
0.0000 0.0000 0.5000
0.5000 0.5000 0.0000
0.0000 0.5000 0.3578
0.0000 0.5000 0.6422
0.5000 0.0000 0.1422
0.5000 0.0000 0.8578
0.0000 0.5000 0.0000
0.5000 0.0000 0.5000
```

Results
- formation energy from raw total energies (kJ per mole of atoms) = -75.5
- symmetry = Immm (71)